A plane-wave DFT calculation with PBE was carried out for a relaxed Al2GaNi6 crystal.

Unit cell a=4.044 b=4.044 c=7.434 alpha=90.00 beta=90.00 gamma=120.00
Sites, in units of the cell vectors:
Al1 0.333 0.667 0.738
Al2 0.667 0.333 0.262
Ga1 0.000 0.000 0.500
Ni1 0.667 0.333 0.943
Ni2 0.333 0.667 0.057
Ni3 0.000 0.000 0.169
Ni4 0.333 0.667 0.396
Ni5 0.000 0.000 0.831
Ni6 0.667 0.333 0.604

- Polymorph energy (0 for the lowest one): 0.000 eV per atom
- M_tot: 0.0 μB per formula unit
- Energy of formation: -0.3965 eV per atom
- DOS(E_F): 0.646 states/eV/atom